A plane-wave DFT calculation with GGA-PBEsol was carried out for a relaxed Li2TaW crystal.

Properties
formation energy from the elements: 0.903 eV/atom
energy: -106.7 eV/cell

Unit cell a=6.022 b=6.022 c=6.022 alpha=90.00 beta=90.00 gamma=90.00
Space group Fm-3m (No. 225)
Unique sites:
1 Li 0.250 0.250 0.250 [8 per cell]
2 Ta 0.000 0.000 0.000 [4 per cell]
3 W 0.000 0.000 0.500 [4 per cell]

A plane-wave DFT calculation with GGA-PBEsol was carried out for a relaxed Cu2OsW crystal.

Properties
formation energy from the elements: 0.311 eV/atom
energy: -66.9 eV/cell

Unit cell a=3.658 b=3.658 c=7.896 alpha=90.00 beta=90.00 gamma=90.00
Space group I4/mmm (No. 139)
Unique sites:
1 Cu 0.000 0.500 0.250 [4 per cell]
2 Os 0.000 0.000 0.000 [2 per cell]
3 W 0.000 0.000 0.500 [2 per cell]

A plane-wave DFT calculation with GGA-PBEsol was carried out for a relaxed ZrFeIr crystal.

Properties
formation energy from the elements: 0.002 eV/atom
energy: -111.5 eV/cell

Unit cell a=6.070 b=6.070 c=6.070 alpha=90.00 beta=90.00 gamma=90.00
Space group F-43m (No. 216)
Unique sites:
1 Zr 0.000 0.000 0.000 [4 per cell]
2 Fe 0.000 0.000 0.500 [4 per cell]
3 Ir 0.250 0.250 0.750 [4 per cell]

A plane-wave DFT calculation with GGA-PBEsol was carried out for a relaxed LiFeSe2 crystal.

Properties
E_form (uncorrected): -0.3512 eV/atom
energy: -20.0 eV/cell

Unit cell a=2.965 b=3.861 c=6.129 alpha=90.00 beta=90.00 gamma=90.00
Space group Pmm2 (No. 25)
Unique sites:
1 Li 0.000 0.000 0.000 [1 per cell]
2 Fe 0.500 0.500 0.694 [1 per cell]
3 Se 0.000 0.000 0.575 [1 per cell]
4 Se 0.500 0.500 0.091 [1 per cell]

A plane-wave DFT calculation with GGA-PBEsol was carried out for a relaxed KWN3 crystal.

Properties
E_form (uncorrected): 0.0347 eV/atom
energy: -40.3 eV/cell

Unit cell a=4.003 b=4.003 c=4.003 alpha=90.00 beta=90.00 gamma=90.00
Space group Pm-3m (No. 221)
Unique sites:
1 K 0.000 0.000 0.000 [1 per cell]
2 W 0.500 0.500 0.500 [1 per cell]
3 N 0.000 0.500 0.500 [3 per cell]

A plane-wave DFT calculation with GGA-PBEsol was carried out for a relaxed LiBe2Re crystal.

Properties
formation energy from the elements: 0.306 eV/atom
energy: -22.1 eV/cell

Unit cell a=2.487 b=3.993 c=4.634 alpha=90.00 beta=90.00 gamma=90.00
Space group Pmm2 (No. 25)
Unique sites:
1 Li 0.000 0.000 0.000 [1 per cell]
2 Be 0.000 0.000 0.478 [1 per cell]
3 Be 0.500 0.500 0.823 [1 per cell]
4 Re 0.500 0.500 0.325 [1 per cell]

A plane-wave DFT calculation with GGA-PBEsol was carried out for a relaxed Na2CaZr crystal.

Properties
formation energy from the elements: 0.718 eV/atom
energy: -44.6 eV/cell

Unit cell a=7.808 b=7.808 c=7.808 alpha=90.00 beta=90.00 gamma=90.00
Space group Fm-3m (No. 225)
Unique sites:
1 Na 0.250 0.250 0.250 [8 per cell]
2 Ca 0.000 0.000 0.000 [4 per cell]
3 Zr 0.000 0.000 0.500 [4 per cell]

A plane-wave DFT calculation with GGA-PBEsol was carried out for a relaxed NdH3O3 crystal.

Properties
energy: -88.9 eV/cell

Unit cell a=6.3803 b=6.3803 c=3.6775 alpha=90.00 beta=90.00 gamma=120.00
Space group P6_3/m (No. 176)
Unique sites:
1 Nd 0.3333 0.6667 0.2500 [2 per cell]
2 H 0.1348 0.8583 0.7500 [6 per cell]
3 O 0.0812 0.3903 0.7500 [6 per cell]

A plane-wave DFT calculation with GGA-PBEsol was carried out for a relaxed Ta2ReH2 crystal.

Properties
energy: -92.4 eV/cell

Unit cell a=3.087 b=3.087 c=11.659 alpha=90.00 beta=90.00 gamma=90.00
Space group I4/mmm (No. 139)
Unique sites:
1 Ta 0.000 0.000 0.140 [4 per cell]
2 Re 0.000 0.000 0.500 [2 per cell]
3 H 0.000 0.500 0.250 [4 per cell]

A plane-wave DFT calculation with GGA-PBEsol was carried out for a relaxed RhWCl crystal.

Properties
E_form (uncorrected): 0.1541 eV/atom
energy: -47.0 eV/cell

Unit cell a=2.863 b=2.863 c=11.504 alpha=90.00 beta=90.00 gamma=90.00
Space group I4mm (No. 107)
Unique sites:
1 Rh 0.000 0.000 0.000 [2 per cell]
2 W 0.000 0.000 0.641 [2 per cell]
3 Cl 0.000 0.000 0.285 [2 per cell]

A plane-wave DFT calculation with GGA-PBEsol was carried out for a relaxed Sr2P2Au crystal.

Properties
formation energy from the elements: -0.544 eV/atom
energy: -43.8 eV/cell

Unit cell a=3.676 b=3.676 c=17.627 alpha=90.00 beta=90.00 gamma=90.00
Space group I4/mmm (No. 139)
Unique sites:
1 Sr 0.000 0.000 0.112 [4 per cell]
2 P 0.000 0.500 0.250 [4 per cell]
3 Au 0.000 0.000 0.500 [2 per cell]

A plane-wave DFT calculation with GGA-PBEsol was carried out for a relaxed ScSbPtI2 crystal.

Properties
E_form (uncorrected): 0.5140 eV/atom
energy: -19.1 eV/cell

Unit cell a=5.307 b=5.307 c=5.733 alpha=90.00 beta=90.00 gamma=90.00
Space group P4/mmm (No. 123)
Unique sites:
1 Sc 0.000 0.000 0.000 [1 per cell]
2 Sb 0.000 0.000 0.500 [1 per cell]
3 Pt 0.500 0.500 0.500 [1 per cell]
4 I 0.000 0.500 0.000 [2 per cell]

A plane-wave DFT calculation with GGA-PBEsol was carried out for a relaxed CaP2Rh crystal.

Properties
formation energy from the elements: -0.643 eV/atom
energy: -48.9 eV/cell

Unit cell a=4.008 b=5.599 c=6.378 alpha=90.00 beta=90.00 gamma=90.00
Space group Immm (No. 71)
Unique sites:
1 Ca 0.000 0.000 0.000 [2 per cell]
2 P 0.000 0.500 0.183 [4 per cell]
3 Rh 0.000 0.000 0.500 [2 per cell]

A plane-wave DFT calculation with GGA-PBEsol was carried out for a relaxed CrFeMo crystal.

Properties
formation energy from the elements: 0.331 eV/atom
energy: -30.0 eV/cell

Unit cell a=2.5878 b=2.5878 c=6.4039 alpha=90.00 beta=90.00 gamma=120.00
Space group P3m1 (No. 156)
Unique sites:
1 Cr 0.0000 0.0000 0.0000 [1 per cell]
2 Fe 0.3333 0.6667 0.7124 [1 per cell]
3 Mo 0.6667 0.3333 0.3645 [1 per cell]

A plane-wave DFT calculation with GGA-PBEsol was carried out for a relaxed CoBi2As2 crystal.

Properties
formation energy from the elements: 0.377 eV/atom
energy: -49.3 eV/cell

Unit cell a=4.956 b=4.952 c=9.596 alpha=90.00 beta=104.88 gamma=90.00
Space group C2/m (No. 12)
Unique sites:
1 Co 0.000 0.000 0.000 [2 per cell]
2 Bi 0.085 0.500 0.169 [4 per cell]
3 As 0.000 0.250 0.500 [4 per cell]

A plane-wave DFT calculation with GGA-PBEsol was carried out for a relaxed ReNi2W crystal.

Properties
formation energy from the elements: 0.028 eV/atom
energy: -78.7 eV/cell

Unit cell a=8.629 b=2.595 c=4.626 alpha=90.00 beta=98.21 gamma=90.00
Space group Cm (No. 8)
Unique sites:
1 Re 0.000 0.000 0.000 [2 per cell]
2 Ni 0.008 0.500 0.528 [2 per cell]
3 Ni 0.257 0.000 0.768 [2 per cell]
4 W 0.261 0.500 0.288 [2 per cell]

A plane-wave DFT calculation with GGA-PBEsol was carried out for a relaxed Ta3MnH crystal.

Properties
energy: -42.9 eV/cell

Unit cell a=4.525 b=4.525 c=4.525 alpha=90.00 beta=90.00 gamma=90.00
Space group Pm-3m (No. 221)
Unique sites:
1 Ta 0.000 0.000 0.500 [3 per cell]
2 Mn 0.000 0.000 0.000 [1 per cell]
3 H 0.500 0.500 0.500 [1 per cell]

A plane-wave DFT calculation with GGA-PBEsol was carried out for a relaxed LiRhSe2 crystal.

Properties
E_form (uncorrected): -0.4017 eV/atom
energy: -77.6 eV/cell

Unit cell a=6.140 b=6.140 c=9.145 alpha=90.00 beta=90.00 gamma=90.00
Space group I-42d (No. 122)
Unique sites:
1 Li 0.000 0.000 0.000 [4 per cell]
2 Rh 0.000 0.000 0.500 [4 per cell]
3 Se 0.221 0.250 0.625 [8 per cell]

A plane-wave DFT calculation with GGA-PBEsol was carried out for a relaxed Ca3GaSi crystal.

Properties
E_form (uncorrected): -0.0308 eV/atom
energy: -15.6 eV/cell

Unit cell a=5.560 b=5.560 c=5.560 alpha=90.00 beta=90.00 gamma=90.00
Space group Pm-3m (No. 221)
Unique sites:
1 Ca 0.000 0.000 0.500 [3 per cell]
2 Ga 0.500 0.500 0.500 [1 per cell]
3 Si 0.000 0.000 0.000 [1 per cell]

A plane-wave DFT calculation with GGA-PBEsol was carried out for a relaxed ZnHNO2 crystal.

Properties
energy: -20.0 eV/cell

Unit cell a=3.778 b=3.778 c=2.544 alpha=90.00 beta=90.00 gamma=90.00
Space group P4/mmm (No. 123)
Unique sites:
1 Zn 0.000 0.000 0.000 [1 per cell]
2 H 0.500 0.500 0.500 [1 per cell]
3 N 0.500 0.500 0.000 [1 per cell]
4 O 0.000 0.500 0.500 [2 per cell]

no.,V (Å³/atom),DOS at the Fermi energy (states/eV per cell),spin magnetization (μB/atom)
1,13.6,15.04,0.000
2,13.2,3.37,0.000
3,18.6,7.47,1.012
4,17.5,4.09,0.862
5,12.8,2.60,0.000
6,11.5,1.43,0.000
7,29.7,17.70,0.596
8,9.3,0.00,0.000
9,11.1,3.91,0.000
10,15.7,3.77,0.000
11,23.8,5.90,0.000
12,32.3,5.62,0.129
13,17.9,3.35,0.000
14,12.4,2.66,0.000
15,22.8,7.53,0.206
16,12.8,5.98,0.000
17,18.5,4.41,0.000
18,21.6,6.86,0.000
19,34.4,4.50,0.000
20,7.3,2.47,0.000